SrMnNb2O8 | PBE with a Hubbard U | optimized geometry

Output
* total DFT energy (no corrections): -95.9 eV per formula unit
* crystal system: trigonal
* Fermi-level density of states: 0.0 states/eV/f.u.

```
data_SrMnNb2O8
_chemical_formula_sum 'Sr1 Mn1 Nb2 O8'
_symmetry_space_group_name_H-M 'P -3'
_symmetry_Int_Tables_number 147
_symmetry_space_group_name_Hall '-P 3'
_cell_length_a 5.2551
_cell_length_b 5.2551
_cell_length_c 6.5738
_cell_angle_alpha 90.00
_cell_angle_beta 90.00
_cell_angle_gamma 120.00
loop_
_atom_site_label
_atom_site_fract_x
_atom_site_fract_y
_atom_site_fract_z
_atom_site_occupancy
Sr1 0.0000 0.0000 0.0000 1
Mn1 0.0000 0.0000 0.5000 1
Nb1 0.3333 0.6667 0.3739 1
O1 0.0506 0.3351 0.6461 1
O2 0.3333 0.6667 0.0996 1
```